# GGA+U Zr2MnPtO, optimized geometry
# VASP energy	-7.8862	eV per atom
data_Zr2MnPtO
_chemical_formula_sum 'Zr2 Mn1 Pt1 O1'
_cell_length_a 4.3022
_cell_length_b 4.3022
_cell_length_c 4.7005
_cell_angle_alpha 90.00
_cell_angle_beta 90.00
_cell_angle_gamma 90.00
_space_group_name_H-M_alt 'P 4/m m m'
_space_group_IT_number 123
_space_group_name_Hall '-P 4 2'
loop_
_atom_site_label
_atom_site_type_symbol
_atom_site_fract_x
_atom_site_fract_y
_atom_site_fract_z
Zr1 Zr 0.0000 0.5000 0.0000
Mn1 Mn 0.0000 0.0000 0.5000
Pt1 Pt 0.5000 0.5000 0.5000
O1 O 0.5000 0.5000 0.0000